# 1
Here is an optimized crystal structure of KDyHoC from OQMD. Energies are from PBE.

Total DFT energy (no corrections): -39.447 eV/cell

abc: 3.616 3.616 20.625
angles: 90.00 90.00 120.00
Fractional positions:
K 0.333 0.667 0.500
K 0.667 0.333 0.000
Dy 0.333 0.667 0.187
Dy 0.333 0.667 0.813
C 0.000 0.000 0.252
C 0.000 0.000 0.748
Ho 0.667 0.333 0.315
Ho 0.667 0.333 0.685


# 2
Here is an optimized crystal structure of DyHoSi2Mo2C from OQMD. Energies are from PBE.

Total DFT energy (no corrections): -55.136 eV/cell

abc: 5.884 5.884 7.134
angles: 123.45 123.45 37.73
Fractional positions:
C 0.000 0.000 0.001
Si 0.869 0.869 0.336
Si 0.131 0.131 0.663
Mo 0.794 0.794 0.916
Mo 0.206 0.206 0.085
Ho 0.575 0.575 0.295
Dy 0.425 0.425 0.704


# 3
Here is an optimized crystal structure of DyHoNi2C2N2 from OQMD. Energies are from PBE.

Total DFT energy (no corrections): -60.624 eV/cell

abc: 3.448 3.448 7.308
angles: 90.00 90.00 90.00
Fractional positions:
Ni 0.000 0.500 0.500
Ni 0.500 0.000 0.500
Dy 0.500 0.500 0.173
N 0.000 0.000 0.146
N 0.500 0.500 0.853
C 0.000 0.000 0.338
C 0.500 0.500 0.661
Ho 0.000 0.000 0.828


# 4
Here is an optimized crystal structure of Dy2HoNi2C2N3 from OQMD. Energies are from PBE.

Total DFT energy (no corrections): -77.159 eV/cell

abc: 10.047 10.047 10.047
angles: 160.22 160.22 28.12
Fractional positions:
Dy 0.626 0.626 0.000
Dy 0.374 0.374 0.000
N 0.500 0.500 0.000
N 0.882 0.882 0.000
N 0.118 0.118 0.000
Ho 0.000 0.000 0.000
C 0.190 0.190 0.000
C 0.810 0.810 0.000
Ni 0.250 0.750 0.500
Ni 0.750 0.250 0.500